Below is a geometry-optimized PmY5Th2 structure, with properties calculated at the PBE level.

Properties
total energy	-6.394	eV/atom
energy of formation from the pure elements	95	meV/atom

a = 3.541 Å, b = 8.901 Å, c = 8.901 Å
α = 78.61°, β = 78.53°, γ = 78.53°
Positions (direct):
1 Y 0.631 0.600 0.138
2 Th 0.739 0.761 0.761
3 Pm 0.000 0.000 0.000
4 Y 0.369 0.862 0.400
5 Y 0.631 0.138 0.600
6 Y 0.000 0.500 0.500
7 Y 0.369 0.400 0.862
8 Th 0.261 0.239 0.239

=====

Below is a geometry-optimized Pm2Y12Th structure, with properties calculated at the PBE level.

Properties
total energy	-6.120	eV/atom
energy of formation from the pure elements	179	meV/atom

a = 6.743 Å, b = 6.743 Å, c = 24.869 Å
α = 90.00°, β = 90.00°, γ = 117.16°
Positions (direct):
1 Y 0.764 0.736 0.439
2 Y 0.736 0.764 0.561
3 Y 0.251 0.249 0.075
4 Y 0.000 0.000 0.801
5 Y 0.264 0.236 0.561
6 Y 0.500 0.500 0.801
7 Y 0.249 0.749 0.125
8 Y 0.740 0.240 0.415
9 Y 0.000 0.000 0.327
10 Pm 0.500 0.000 0.265
11 Y 0.500 0.500 0.327
12 Th 0.000 0.500 0.000
13 Y 0.760 0.260 0.585
14 Pm 0.500 0.000 0.730
15 Pm 0.000 0.500 0.735
16 Y 0.500 0.500 0.673
17 Y 0.249 0.251 0.925
18 Y 0.749 0.751 0.075
19 Y 0.000 0.000 0.199
20 Th 0.500 0.000 0.000
21 Y 0.751 0.749 0.925
22 Y 0.236 0.264 0.439
23 Y 0.240 0.740 0.585
24 Y 0.749 0.249 0.875
25 Y 0.000 0.000 0.673
26 Y 0.500 0.500 0.199
27 Pm 0.000 0.500 0.270
28 Y 0.751 0.251 0.125
29 Y 0.260 0.760 0.415
30 Y 0.251 0.751 0.875

=====

Below is a geometry-optimized PmYTh3 structure, with properties calculated at the PBE level.

Properties
total energy	-6.321	eV/atom
energy of formation from the pure elements	373	meV/atom

a = 5.998 Å, b = 11.925 Å, c = 8.331 Å
α = 135.70°, β = 111.10°, γ = 90.00°
Positions (direct):
1 Th 0.669 0.169 0.838
2 Th 0.000 0.500 0.500
3 Th 0.669 0.669 0.838
4 Pm 0.000 0.500 0.000
5 Th 0.331 0.331 0.162
6 Y 0.302 0.250 0.500
7 Th 0.331 0.831 0.162
8 Th 0.000 0.000 0.500
9 Y 0.698 0.750 0.500
10 Pm 0.500 0.000 0.000

=====

Below is a geometry-optimized Pm7Y2Th2 structure, with properties calculated at the PBE level.

Properties
total energy	-5.366	eV/atom
energy of formation from the pure elements	182	meV/atom
energy above the most stable polymorph in this dataset	9.2	meV/atom

a = 8.771 Å, b = 6.054 Å, c = 8.771 Å
α = 63.97°, β = 97.50°, γ = 116.03°
Positions (direct):
1 Pm 0.956 0.190 0.593
2 Y 0.224 0.847 0.776
3 Pm 0.000 0.000 0.000
4 Pm 0.044 0.810 0.407
5 Y 0.776 0.153 0.224
6 Pm 0.428 0.654 0.572
7 Pm 0.407 0.190 0.044
8 Pm 0.572 0.346 0.428
9 Pm 0.593 0.810 0.956
10 Th 0.216 0.500 0.216
11 Th 0.784 0.500 0.784

=====

Below is a geometry-optimized Pm2Y5Th4 structure, with properties calculated at the PBE level.

Properties
total energy	-6.374	eV/atom
energy of formation from the pure elements	126	meV/atom
energy above the most stable polymorph in this dataset	0.0	meV/atom

a = 3.518 Å, b = 8.616 Å, c = 12.321 Å
α = 94.40°, β = 98.21°, γ = 90.00°
Positions (direct):
1 Th 0.044 0.351 0.088
2 Y 0.500 0.000 0.000
3 Y 0.184 0.472 0.368
4 Pm 0.275 0.175 0.550
5 Y 0.130 0.044 0.260
6 Th 0.415 0.315 0.830
7 Th 0.585 0.685 0.170
8 Pm 0.725 0.825 0.450
9 Y 0.870 0.956 0.740
10 Y 0.816 0.528 0.632
11 Th 0.956 0.649 0.912

=====

Below is a geometry-optimized Pm5YTh3 structure, with properties calculated at the PBE level.

Properties
total energy	-5.751	eV/atom
energy of formation from the pure elements	80	meV/atom

a = 12.148 Å, b = 10.493 Å, c = 9.092 Å
α = 74.74°, β = 63.04°, γ = 124.63°
Positions (direct):
1 Y 0.722 0.055 0.000
2 Pm 0.389 0.721 0.000
3 Th 0.168 0.667 0.497
4 Y 0.278 0.945 0.000
5 Pm 0.887 0.722 0.501
6 Th 0.500 0.000 0.500
7 Pm 0.056 0.391 0.999
8 Th 0.332 0.331 0.001
9 Pm 0.222 0.053 0.502
10 Pm 0.611 0.279 0.000
11 Pm 0.778 0.947 0.498
12 Th 0.000 0.000 0.000
13 Th 0.832 0.333 0.503
14 Pm 0.558 0.391 0.497
15 Pm 0.113 0.278 0.499
16 Pm 0.442 0.609 0.503
17 Th 0.668 0.669 0.999
18 Pm 0.944 0.609 0.001

=====

Below is a geometry-optimized Pm4Y5Th structure, with properties calculated at the PBE level.

Properties
total energy	-5.685	eV/atom
energy of formation from the pure elements	189	meV/atom
energy above the most stable polymorph in this dataset	172.5	meV/atom

a = 5.541 Å, b = 10.523 Å, c = 6.492 Å
α = 90.15°, β = 115.26°, γ = 90.00°
Positions (direct):
1 Y 0.195 0.066 0.389
2 Y 0.195 0.432 0.390
3 Y 0.805 0.934 0.611
4 Pm 0.335 0.749 0.669
5 Y 0.805 0.568 0.610
6 Y 0.500 0.500 0.000
7 Pm 0.946 0.249 0.891
8 Pm 0.665 0.251 0.331
9 Th 0.500 0.000 0.000
10 Pm 0.054 0.751 0.109

=====

Below is a geometry-optimized Pm6YTh structure, with properties calculated at the PBE level.

Properties
total energy	-5.261	eV/atom
energy of formation from the pure elements	37	meV/atom
energy above the most stable polymorph in this dataset	3.8	meV/atom

a = 5.135 Å, b = 5.135 Å, c = 10.251 Å
α = 90.00°, β = 90.00°, γ = 90.00°
Positions (direct):
1 Pm 0.500 0.500 0.500
2 Pm 0.000 0.500 0.253
3 Th 0.000 0.000 0.500
4 Pm 0.500 0.500 0.000
5 Y 0.000 0.000 0.000
6 Pm 0.500 0.000 0.253
7 Pm 0.500 0.000 0.747
8 Pm 0.000 0.500 0.747

=====

Below is a geometry-optimized Pm5Y3Th structure, with properties calculated at the PBE level.

Properties
total energy	-5.300	eV/atom
energy of formation from the pure elements	318	meV/atom

a = 7.953 Å, b = 7.953 Å, c = 11.278 Å
α = 110.65°, β = 110.65°, γ = 90.00°
Positions (direct):
1 Pm 0.573 0.661 0.734
2 Y 0.750 0.750 0.500
3 Y 0.131 0.369 0.000
4 Pm 0.161 0.073 0.734
5 Y 0.369 0.869 0.000
6 Pm 0.427 0.339 0.266
7 Pm 0.500 0.500 0.000
8 Pm 0.927 0.427 0.266
9 Pm 0.000 0.000 0.000
10 Pm 0.661 0.161 0.734
11 Y 0.869 0.631 0.000
12 Pm 0.339 0.839 0.266
13 Y 0.250 0.250 0.500
14 Pm 0.073 0.573 0.734
15 Pm 0.839 0.927 0.266
16 Y 0.631 0.131 0.000
17 Th 0.250 0.750 0.500
18 Th 0.750 0.250 0.500

=====

Below is a geometry-optimized PmY5Th structure, with properties calculated at the PBE level.

Properties
total energy	-6.158	eV/atom
energy of formation from the pure elements	198	meV/atom

a = 6.188 Å, b = 9.362 Å, c = 8.767 Å
α = 85.91°, β = 77.52°, γ = 70.70°
Positions (direct):
1 Y 0.461 0.313 0.540
2 Y 0.611 0.373 0.146
3 Y 0.147 0.706 0.250
4 Y 0.016 0.373 0.354
5 Th 0.000 0.000 0.500
6 Pm 0.512 0.975 0.750
7 Y 0.984 0.627 0.646
8 Y 0.774 0.687 0.040
9 Y 0.539 0.687 0.460
10 Y 0.389 0.627 0.854
11 Th 0.000 0.000 0.000
12 Y 0.226 0.313 0.960
13 Y 0.853 0.294 0.750
14 Pm 0.488 0.025 0.250

=====

Below is a geometry-optimized Pm4YTh2 structure, with properties calculated at the PBE level.

Properties
total energy	-5.408	eV/atom
energy of formation from the pure elements	350	meV/atom
energy above the most stable polymorph in this dataset	0.0	meV/atom

a = 5.730 Å, b = 10.200 Å, c = 5.845 Å
α = 134.40°, β = 90.00°, γ = 90.00°
Positions (direct):
1 Pm 0.000 0.272 0.777
2 Pm 0.000 0.728 0.223
3 Pm 0.500 0.330 0.495
4 Th 0.500 0.000 0.500
5 Th 0.000 0.500 0.500
6 Y 0.000 0.000 0.000
7 Pm 0.500 0.670 0.505

=====

Below is a geometry-optimized Pm10Y4Th structure, with properties calculated at the PBE level.

Properties
total energy	-4.938	eV/atom
energy of formation from the pure elements	447	meV/atom

a = 10.998 Å, b = 8.947 Å, c = 8.947 Å
α = 67.80°, β = 52.07°, γ = 52.07°
Positions (direct):
1 Pm 0.708 0.342 0.896
2 Y 0.440 0.341 0.778
3 Pm 0.750 0.500 0.500
4 Pm 0.054 0.342 0.896
5 Pm 0.292 0.658 0.104
6 Pm 0.604 0.104 0.342
7 Pm 0.051 0.896 0.658
8 Pm 0.949 0.104 0.342
9 Y 0.781 0.778 0.659
10 Y 0.219 0.222 0.341
11 Y 0.560 0.659 0.222
12 Pm 0.250 0.500 0.500
13 Th 0.000 0.000 0.000
14 Pm 0.396 0.896 0.658
15 Pm 0.946 0.658 0.104

=====

Below is a geometry-optimized PmY6Th3 structure, with properties calculated at the PBE level.

Properties
total energy	-6.474	eV/atom
energy of formation from the pure elements	106	meV/atom
energy above the most stable polymorph in this dataset	0.0	meV/atom

a = 3.507 Å, b = 13.256 Å, c = 14.343 Å
α = 82.49°, β = 90.00°, γ = 90.00°
Positions (direct):
1 Y 0.750 0.628 0.480
2 Y 0.750 0.122 0.501
3 Th 0.750 0.008 0.298
4 Th 0.750 0.481 0.708
5 Th 0.250 0.992 0.702
6 Pm 0.250 0.316 0.894
7 Th 0.250 0.519 0.292
8 Y 0.250 0.575 0.897
9 Y 0.250 0.878 0.499
10 Y 0.250 0.372 0.520
11 Y 0.250 0.776 0.298
12 Y 0.250 0.256 0.296
13 Th 0.750 0.173 0.103
14 Y 0.750 0.062 0.902
15 Th 0.250 0.827 0.897
16 Pm 0.750 0.684 0.106
17 Y 0.750 0.224 0.702
18 Y 0.250 0.938 0.098
19 Y 0.750 0.425 0.103
20 Y 0.750 0.744 0.704

=====

Below is a geometry-optimized Pm2Y3Th4 structure, with properties calculated at the PBE level.

Properties
total energy	-6.470	eV/atom
energy of formation from the pure elements	38	meV/atom

a = 5.067 Å, b = 8.041 Å, c = 14.797 Å
α = 144.39°, β = 90.00°, γ = 108.37°
Positions (direct):
1 Y 0.000 0.000 0.000
2 Pm 0.770 0.541 0.331
3 Th 0.891 0.782 0.668
4 Th 0.332 0.665 0.003
5 Pm 0.230 0.459 0.669
6 Th 0.109 0.218 0.332
7 Y 0.555 0.110 0.671
8 Y 0.445 0.890 0.329
9 Th 0.668 0.335 0.997

=====

Below is a geometry-optimized Pm3Y3Th2 structure, with properties calculated at the PBE level.

Properties
total energy	-6.031	eV/atom
energy of formation from the pure elements	30	meV/atom

a = 5.078 Å, b = 5.086 Å, c = 10.885 Å
α = 103.51°, β = 103.49°, γ = 90.00°
Positions (direct):
1 Th 0.250 0.750 0.499
2 Pm 0.129 0.129 0.258
3 Y 0.628 0.628 0.256
4 Y 0.372 0.372 0.744
5 Th 0.750 0.250 0.501
6 Pm 0.871 0.871 0.742
7 Y 0.500 0.000 0.000
8 Pm 0.000 0.500 0.000

=====

Below is a geometry-optimized Pm3Y8Th2 structure, with properties calculated at the PBE level.

Properties
total energy	-6.099	eV/atom
energy of formation from the pure elements	116	meV/atom
energy above the most stable polymorph in this dataset	0.0	meV/atom

a = 13.086 Å, b = 8.807 Å, c = 19.803 Å
α = 70.60°, β = 104.73°, γ = 156.00°
Positions (direct):
1 Y 0.659 0.319 0.322
2 Y 0.119 0.572 0.887
3 Y 0.569 0.777 0.438
4 Th 0.488 0.755 0.854
5 Th 0.921 0.938 0.415
6 Pm 0.247 0.160 0.774
7 Y 0.858 0.947 0.815
8 Y 0.881 0.428 0.113
9 Y 0.629 0.810 0.037
10 Y 0.620 0.351 0.739
11 Y 0.431 0.223 0.562
12 Y 0.341 0.681 0.678
13 Th 0.512 0.245 0.146
14 Pm 0.753 0.840 0.226
15 Pm 0.038 0.503 0.293
16 Y 0.142 0.053 0.185
17 Pm 0.500 0.000 0.500
18 Th 0.079 0.062 0.585
19 Y 0.742 0.374 0.924
20 Y 0.242 0.039 0.387
21 Y 0.758 0.961 0.613
22 Pm 0.000 0.000 0.000
23 Pm 0.962 0.497 0.707
24 Y 0.258 0.626 0.076
25 Y 0.371 0.190 0.963
26 Y 0.380 0.649 0.261

=====

Below is a geometry-optimized Pm8Y2Th3 structure, with properties calculated at the PBE level.

Properties
total energy	-5.393	eV/atom
energy of formation from the pure elements	238	meV/atom

a = 10.435 Å, b = 11.045 Å, c = 9.904 Å
α = 123.89°, β = 137.07°, γ = 90.00°
Positions (direct):
1 Y 0.576 0.809 0.618
2 Pm 0.164 0.255 0.509
3 Th 0.500 0.000 0.000
4 Pm 0.645 0.240 0.966
5 Th 0.000 0.239 0.000
6 Pm 0.355 0.760 0.034
7 Y 0.424 0.191 0.382
8 Pm 0.645 0.725 0.966
9 Pm 0.986 0.384 0.769
10 Pm 0.014 0.616 0.231
11 Pm 0.836 0.745 0.491
12 Pm 0.355 0.275 0.034
13 Th 0.000 0.761 0.000

=====

Below is a geometry-optimized Pm3Y4Th2 structure, with properties calculated at the PBE level.

Properties
total energy	-5.957	eV/atom
energy of formation from the pure elements	148	meV/atom
energy above the most stable polymorph in this dataset	15.8	meV/atom

a = 6.359 Å, b = 9.903 Å, c = 9.905 Å
α = 83.85°, β = 98.27°, γ = 98.27°
Positions (direct):
1 Y 0.134 0.871 0.503
2 Pm 0.750 0.466 0.534
3 Th 0.639 0.781 0.632
4 Pm 0.509 0.837 0.951
5 Y 0.021 0.292 0.868
6 Pm 0.991 0.049 0.163
7 Th 0.139 0.632 0.780
8 Y 0.866 0.129 0.497
9 Th 0.861 0.368 0.220
10 Y 0.521 0.868 0.293
11 Pm 0.250 0.534 0.466
12 Pm 0.491 0.163 0.049
13 Pm 0.009 0.951 0.837
14 Th 0.361 0.219 0.368
15 Y 0.366 0.497 0.129
16 Y 0.634 0.503 0.871
17 Y 0.479 0.132 0.707
18 Y 0.979 0.708 0.132